Density functional theory data (PBE) for a relaxed structure of InSi2Os.

## Properties
- SG = No. 139
- uncorrected energy (eV/atom) = -5.701

```
4
Lattice="-3.345 2.747 1.648 -0.255 -1.588 4.343 3.853 1.412 -2.147" Properties=species:S:1:pos:R:3 pbc="T T T"
Si 0.000 0.000 0.000
Os -0.646 2.369 1.248
In 0.899 0.202 2.596
Si -1.800 0.580 2.995
```